Density functional theory data (PBE) for an optimized crystal structure of PmPrHo2Er4.

Results
The value obtained for the total energy is -4.1853 eV/atom. The formation energy is 432 meV per atom.

CIF file:
```
data_PmPrHo2Er4
_cell_length_a 6.787
_cell_length_b 11.768
_cell_length_c 13.234
_cell_angle_alpha 90.00
_cell_angle_beta 90.00
_cell_angle_gamma 90.00
_symmetry_space_group_name_H-M 'I m m a'
_symmetry_Int_Tables_number 74
_symmetry_space_group_name_Hall '-I 2b 2'
loop_
_atom_site_label
_atom_site_fract_x
_atom_site_fract_y
_atom_site_fract_z
_atom_site_occupancy
Pm1 0.000 0.000 0.000 1
Pr1 0.250 0.250 0.250 1
Ho1 0.000 0.000 0.500 1
Ho2 0.250 0.250 0.750 1
Er1 0.000 0.004 0.748 1
Er2 0.249 0.250 0.504 1
```